(1)
Ca3CdRe | PBE | optimized geometry

a = 5.706 Å, b = 5.706 Å, c = 5.706 Å
α = 90.00°, β = 90.00°, γ = 90.00°
Fractional positions:
1 Ca 0.000 0.000 0.500
2 Ca 0.000 0.500 0.000
3 Ca 0.500 0.000 0.000
4 Cd 0.000 0.000 0.000
5 Re 0.500 0.500 0.500

- M_tot (μB/f.u.) = 3.42
- ΔH_f (0 K) (eV/atom) = 1.1891
- space group = Pm-3m, No. 221
- offset from the most stable computed form (meV/atom) = 565.3

(2)
LaPmHoPb | PBE | optimized geometry

a = 5.625 Å, b = 5.625 Å, c = 5.625 Å
α = 60.00°, β = 60.00°, γ = 60.00°
Fractional positions:
1 La 0.000 0.000 0.000
2 Pm 0.500 0.500 0.500
3 Ho 0.250 0.250 0.250
4 Pb 0.750 0.750 0.750

- M_tot (μB/f.u.) = 0.00
- ΔH_f (0 K) (eV/atom) = -0.1632
- space group = F-43m, No. 216

- What is the formula in the first record?
  Ca3CdRe

Copy entry 1 word for word.
Ca3CdRe | PBE | optimized geometry

a = 5.706 Å, b = 5.706 Å, c = 5.706 Å
α = 90.00°, β = 90.00°, γ = 90.00°
Fractional positions:
1 Ca 0.000 0.000 0.500
2 Ca 0.000 0.500 0.000
3 Ca 0.500 0.000 0.000
4 Cd 0.000 0.000 0.000
5 Re 0.500 0.500 0.500

- M_tot (μB/f.u.) = 3.42
- ΔH_f (0 K) (eV/atom) = 1.1891
- space group = Pm-3m, No. 221
- offset from the most stable computed form (meV/atom) = 565.3

- Which formula does entry 2 have?
  LaPmHoPb

- Look up the M_tot of the second one.
  0.00 μB/f.u.